No. 1
The following is a DFT calculation (GGA-PBE) of a geometry-optimized TcTeH2N structure.

Lattice parameters (Å, degrees): 3.397 3.397 5.441 90.00 90.00 90.00
Positions (direct):
Tc1 0.000 0.000 0.000
Te1 0.000 0.000 0.500
H1 0.000 0.500 0.500
H2 0.500 0.000 0.500
N1 0.500 0.500 0.000

Properties
Space-group type: P4/mmm, No. 123
Electronic total energy (eV per cell): -22.8

No. 2
The following is a DFT calculation (GGA-PBE) of a geometry-optimized Tl2TcHN structure.

Lattice parameters (Å, degrees): 5.566 5.566 3.754 90.00 90.00 90.00
Positions (direct):
Tl1 0.000 0.500 0.000
Tl2 0.500 0.000 0.000
Tc1 0.000 0.000 0.500
H1 0.500 0.500 0.500
N1 0.000 0.000 0.000

Properties
Space-group type: P4/mmm, No. 123
Electronic total energy (eV per cell): -22.2

No. 3
The following is a DFT calculation (GGA-PBE) of a geometry-optimized TlTcHN2 structure.

Lattice parameters (Å, degrees): 4.126 4.126 3.180 90.00 90.00 90.00
Positions (direct):
Tl1 0.000 0.000 0.000
Tc1 0.500 0.500 0.000
H1 0.500 0.500 0.500
N1 0.000 0.500 0.500
N2 0.500 0.000 0.500

Properties
Space-group type: P4/mmm, No. 123
Electronic total energy (eV per cell): -24.4

No. 4
The following is a DFT calculation (GGA-PBE) of a geometry-optimized TcH2WN structure.

Lattice parameters (Å, degrees): 3.573 3.573 4.042 90.00 90.00 90.00
Positions (direct):
Tc1 0.000 0.000 0.000
H1 0.000 0.500 0.500
H2 0.500 0.000 0.500
W1 0.500 0.500 0.000
N1 0.500 0.500 0.500

Properties
Space-group type: P4/mmm, No. 123
Electronic total energy (eV per cell): -31.9

No. 5
The following is a DFT calculation (GGA-PBE) of a geometry-optimized ZrTcH2N structure.

Lattice parameters (Å, degrees): 3.632 3.632 4.303 90.00 90.00 90.00
Positions (direct):
Zr1 0.000 0.000 0.000
Tc1 0.500 0.500 0.500
H1 0.000 0.500 0.000
H2 0.500 0.000 0.000
N1 0.000 0.000 0.500

Properties
Space-group type: P4/mmm, No. 123
Electronic total energy (eV per cell): -31.9

No. 6
The following is a DFT calculation (GGA-PBE) of a geometry-optimized TiTe2HN structure.

Lattice parameters (Å, degrees): 5.054 5.054 3.050 90.00 90.00 90.00
Positions (direct):
Ti1 0.000 0.000 0.000
Te1 0.000 0.500 0.500
Te2 0.500 0.000 0.500
H1 0.500 0.500 0.000
N1 0.500 0.500 0.500

Properties
ΔE to the lowest computed polymorph (kcal/mol of atoms): 0.00
Space-group type: P4/mmm, No. 123
Electronic total energy (eV per cell): -23.5

No. 7
The following is a DFT calculation (GGA-PBE) of a geometry-optimized TiTe2HN structure.

Lattice parameters (Å, degrees): 5.558 5.558 3.702 90.00 90.00 90.00
Positions (direct):
Ti1 0.000 0.000 0.000
Te1 0.000 0.500 0.000
Te2 0.500 0.000 0.000
H1 0.500 0.500 0.500
N1 0.000 0.000 0.500

Properties
ΔE to the lowest computed polymorph (kcal/mol of atoms): 0.66
Space-group type: P4/mmm, No. 123
Electronic total energy (eV per cell): -23.4

No. 8
The following is a DFT calculation (GGA-PBE) of a geometry-optimized TiTe2HN structure.

Lattice parameters (Å, degrees): 5.205 5.205 2.881 90.00 90.00 90.00
Positions (direct):
Ti1 0.000 0.000 0.000
Te1 0.000 0.500 0.500
Te2 0.500 0.000 0.500
H1 0.500 0.500 0.500
N1 0.500 0.500 0.000

Properties
ΔE to the lowest computed polymorph (kcal/mol of atoms): 6.83
Space-group type: P4/mmm, No. 123
Electronic total energy (eV per cell): -22.0

No. 9
The following is a DFT calculation (GGA-PBE) of a geometry-optimized TlTe2HN structure.

Lattice parameters (Å, degrees): 6.099 6.099 4.292 90.00 90.00 90.00
Positions (direct):
Tl1 0.000 0.000 0.000
Te1 0.000 0.500 0.000
Te2 0.500 0.000 0.000
H1 0.500 0.500 0.500
N1 0.000 0.000 0.500

Properties
ΔE to the lowest computed polymorph (kcal/mol of atoms): 13.31
Space-group type: P4/mmm, No. 123
Electronic total energy (eV per cell): -12.0

No. 10
The following is a DFT calculation (GGA-PBE) of a geometry-optimized TlTe2H6N2 structure.

Lattice parameters (Å, degrees): 6.326 6.326 5.554 90.13 90.13 59.87
Positions (direct):
Tl1 0.000 0.000 0.000
Te1 0.333 0.333 0.787
Te2 0.667 0.667 0.213
H1 0.152 0.425 0.273
H2 0.425 0.152 0.273
H3 0.425 0.425 0.273
H4 0.575 0.575 0.727
H5 0.575 0.848 0.727
H6 0.848 0.575 0.727
N1 0.334 0.334 0.224
N2 0.666 0.666 0.776

Properties
Space-group type: C2/m, No. 12
Electronic total energy (eV per cell): -46.7

No. 11
The following is a DFT calculation (GGA-PBE) of a geometry-optimized TlTe2HN structure.

Lattice parameters (Å, degrees): 4.467 4.467 6.028 90.00 90.00 90.00
Positions (direct):
Tl1 0.000 0.000 0.000
Te1 0.000 0.500 0.500
Te2 0.500 0.000 0.500
H1 0.500 0.500 0.500
N1 0.500 0.500 0.000

Properties
ΔE to the lowest computed polymorph (kcal/mol of atoms): 0.00
Space-group type: P4/mmm, No. 123
Electronic total energy (eV per cell): -14.9

No. 12
The following is a DFT calculation (GGA-PBE) of a geometry-optimized Te2HWN structure.

Lattice parameters (Å, degrees): 5.420 5.420 3.810 90.00 90.00 90.00
Positions (direct):
Te1 0.000 0.500 0.000
Te2 0.500 0.000 0.000
H1 0.000 0.000 0.500
W1 0.500 0.500 0.000
N1 0.500 0.500 0.500

Properties
ΔE to the lowest computed polymorph (kcal/mol of atoms): 0.00
Space-group type: P4/mmm, No. 123
Electronic total energy (eV per cell): -27.2

No. 13
The following is a DFT calculation (GGA-PBE) of a geometry-optimized Te2HWN structure.

Lattice parameters (Å, degrees): 5.167 5.167 2.872 90.00 90.00 90.00
Positions (direct):
Te1 0.000 0.500 0.000
Te2 0.500 0.000 0.000
H1 0.000 0.000 0.000
W1 0.500 0.500 0.500
N1 0.000 0.000 0.500

Properties
ΔE to the lowest computed polymorph (kcal/mol of atoms): 14.08
Space-group type: P4/mmm, No. 123
Electronic total energy (eV per cell): -24.1

No. 14
The following is a DFT calculation (GGA-PBE) of a geometry-optimized ZnTeHN2 structure.

Lattice parameters (Å, degrees): 3.781 3.781 6.320 90.00 90.00 90.00
Positions (direct):
Zn1 0.000 0.000 0.000
Te1 0.000 0.000 0.500
H1 0.500 0.500 0.500
N1 0.000 0.500 0.000
N2 0.500 0.000 0.000

Properties
ΔE to the lowest computed polymorph (kcal/mol of atoms): 0.00
Space-group type: P4/mmm, No. 123
Electronic total energy (eV per cell): -15.3

No. 15
The following is a DFT calculation (GGA-PBE) of a geometry-optimized ZnTe2HN structure.

Lattice parameters (Å, degrees): 5.628 5.628 3.530 90.00 90.00 90.00
Positions (direct):
Zn1 0.000 0.000 0.000
Te1 0.000 0.500 0.000
Te2 0.500 0.000 0.000
H1 0.500 0.500 0.500
N1 0.000 0.000 0.500

Properties
ΔE to the lowest computed polymorph (kcal/mol of atoms): 8.07
Space-group type: P4/mmm, No. 123
Electronic total energy (eV per cell): -12.8

No. 16
The following is a DFT calculation (GGA-PBE) of a geometry-optimized ZnTeHN2 structure.

Lattice parameters (Å, degrees): 4.163 4.163 3.461 90.00 90.00 90.00
Positions (direct):
Zn1 0.000 0.000 0.000
Te1 0.500 0.500 0.000
H1 0.500 0.500 0.500
N1 0.000 0.500 0.500
N2 0.500 0.000 0.500

Properties
ΔE to the lowest computed polymorph (kcal/mol of atoms): 1.02
Space-group type: P4/mmm, No. 123
Electronic total energy (eV per cell): -15.1

No. 17
The following is a DFT calculation (GGA-PBE) of a geometry-optimized ZnTe2HN structure.

Lattice parameters (Å, degrees): 5.293 5.293 2.929 90.00 90.00 90.00
Positions (direct):
Zn1 0.000 0.000 0.000
Te1 0.000 0.500 0.500
Te2 0.500 0.000 0.500
H1 0.500 0.500 0.500
N1 0.500 0.500 0.000

Properties
ΔE to the lowest computed polymorph (kcal/mol of atoms): 0.00
Space-group type: P4/mmm, No. 123
Electronic total energy (eV per cell): -14.6

No. 18
The following is a DFT calculation (GGA-PBE) of a geometry-optimized ZrTe2HN structure.

Lattice parameters (Å, degrees): 5.871 5.871 3.991 90.00 90.00 90.00
Positions (direct):
Zr1 0.000 0.000 0.000
Te1 0.000 0.500 0.000
Te2 0.500 0.000 0.000
H1 0.500 0.500 0.500
N1 0.000 0.000 0.500

Properties
ΔE to the lowest computed polymorph (kcal/mol of atoms): 0.00
Space-group type: P4/mmm, No. 123
Electronic total energy (eV per cell): -23.6

No. 19
The following is a DFT calculation (GGA-PBE) of a geometry-optimized ZrTeHN2 structure.

Lattice parameters (Å, degrees): 4.108 4.108 6.150 90.00 90.00 90.00
Positions (direct):
Zr1 0.000 0.000 0.000
Te1 0.000 0.000 0.500
H1 0.500 0.500 0.500
N1 0.000 0.500 0.000
N2 0.500 0.000 0.000

Properties
ΔE to the lowest computed polymorph (kcal/mol of atoms): 0.00
Space-group type: P4/mmm, No. 123
Electronic total energy (eV per cell): -27.1

No. 20
The following is a DFT calculation (GGA-PBE) of a geometry-optimized ZrTeHN2 structure.

Lattice parameters (Å, degrees): 4.224 4.224 3.336 90.00 90.00 90.00
Positions (direct):
Zr1 0.000 0.000 0.000
Te1 0.500 0.500 0.000
H1 0.500 0.500 0.500
N1 0.000 0.500 0.500
N2 0.500 0.000 0.500

Properties
ΔE to the lowest computed polymorph (kcal/mol of atoms): 3.16
Space-group type: P4/mmm, No. 123
Electronic total energy (eV per cell): -26.5